1.
ZrRuCSe2: optimized geometry, GGA-PBE.

space group	No. 123
E_form (uncorrected)	9.207	eV/f.u.
M_tot	2.17	μB/f.u.

extended XYZ file:
```
5
Lattice="5.1880 0.0000 0.0000 0.0000 5.1880 0.0000 0.0000 0.0000 4.9311" Properties=species:S:1:pos:R:3 pbc="T T T"
Zr 0.0000 0.0000 0.0000
Ru 0.0000 0.0000 2.4655
C 2.5940 2.5940 2.4655
Se 0.0000 2.5940 0.0000
Se 2.5940 0.0000 0.0000
```



2.
NaZnOF2: optimized geometry, GGA-PBE.

space group	No. 123
E_form (uncorrected)	-8.651	eV/f.u.
M_tot	0.90	μB/f.u.

extended XYZ file:
```
5
Lattice="4.1312 0.0000 0.0000 0.0000 4.1312 0.0000 0.0000 0.0000 3.8058" Properties=species:S:1:pos:R:3 pbc="T T T"
Na 0.0000 0.0000 0.0000
Zn 2.0656 2.0656 1.9029
O 2.0656 2.0656 0.0000
F 0.0000 2.0656 1.9029
F 2.0656 0.0000 1.9029
```



3.
K2BeHg: optimized geometry, GGA-PBE.

formation energy from the elements	0.206	eV/atom
space group	No. 38
M_tot	0.00	μB/f.u.

extended XYZ file:
```
4
Lattice="4.6188 0.0000 0.0000 0.0000 3.0295 5.2343 0.0000 -3.0295 5.2343" Properties=species:S:1:pos:R:3 pbc="T T T"
K 0.0000 0.0000 0.0000
K 2.3094 0.0000 3.4956
Be 0.0000 0.0000 6.9771
Hg 2.3094 0.0000 6.9855
```



4.
Na3In2Hg8: optimized geometry, GGA-PBE.

formation energy from the elements	-0.060	eV/atom
space group	No. 166
M_tot	0.00	μB/f.u.

extended XYZ file:
```
13
Lattice="3.0753 1.7755 11.2802 -3.0753 1.7755 11.2802 0.0000 -3.5510 11.2802" Properties=species:S:1:pos:R:3 pbc="T T T"
Na 0.0000 0.0000 0.0000
Na 0.0000 0.0000 6.3217
Na 0.0000 0.0000 27.5190
In 0.0000 0.0000 12.2790
In 0.0000 0.0000 21.5617
Hg -1.5483 -0.8939 18.9282
Hg 0.0000 -1.7878 14.9125
Hg -1.5483 0.8939 14.9125
Hg 0.0000 0.0000 9.4116
Hg 0.0000 0.0000 24.4291
Hg 1.5483 -0.8939 18.9281
Hg 0.0000 1.7878 18.9281
Hg 1.5483 0.8939 14.9125
```



5.
NdDy7In4: optimized geometry, GGA-PBE.

formation energy from the elements	-0.105	eV/atom
space group	No. 12
M_tot	0.00	μB/f.u.

extended XYZ file:
```
12
Lattice="7.2437 -2.8354 0.0000 7.2437 2.8354 0.0000 -5.8663 0.0000 8.7518" Properties=species:S:1:pos:R:3 pbc="T T T"
Nd 0.0000 0.0000 0.0000
Dy -1.4010 0.0000 3.4613
Dy -2.0901 0.0000 7.6698
Dy 2.0872 0.0000 3.0141
Dy 7.2437 0.0000 0.0000
Dy 6.5340 0.0000 5.7377
Dy 10.7112 0.0000 1.0820
Dy 10.0221 0.0000 5.2905
In 0.6953 0.0000 5.8365
In 4.9500 0.0000 2.1035
In 3.6712 0.0000 6.6483
In 7.9259 0.0000 2.9153
```



6.
Fe2IBr: optimized geometry, GGA-PBE.

space group	No. 225
E_form (uncorrected)	3.038	eV/f.u.
M_tot	6.12	μB/f.u.

extended XYZ file:
```
4
Lattice="0.0000 3.3927 3.3927 3.3927 0.0000 3.3927 3.3927 3.3927 0.0000" Properties=species:S:1:pos:R:3 pbc="T T T"
Fe 1.6963 1.6963 1.6963
Fe 5.0890 5.0890 5.0890
I 0.0000 0.0000 0.0000
Br 3.3927 3.3927 3.3927
```



7.
Cd2InGe2: optimized geometry, GGA-PBE.

formation energy from the elements	0.182	eV/atom
space group	No. 127
M_tot	0.00	μB/f.u.

extended XYZ file:
```
10
Lattice="7.4261 0.0000 0.0000 0.0000 7.4261 0.0000 0.0000 0.0000 4.2561" Properties=species:S:1:pos:R:3 pbc="T T T"
Cd 1.3194 2.3937 0.0000
Cd 2.3937 6.1067 0.0000
Cd 5.0324 1.3194 0.0000
Cd 6.1067 5.0324 0.0000
In 0.0000 0.0000 2.1280
In 3.7131 3.7131 2.1280
Ge 0.9231 4.6362 2.1280
Ge 2.7900 0.9231 2.1280
Ge 4.6362 6.5030 2.1280
Ge 6.5030 2.7900 2.1280
```



8.
AcYPt3: optimized geometry, GGA-PBE.

formation energy from the elements	-1.130	eV/atom
space group	No. 63
M_tot	0.00	μB/f.u.

extended XYZ file:
```
10
Lattice="2.0107 -13.6082 0.0000 2.0107 13.6082 0.0000 0.0000 0.0000 4.3577" Properties=species:S:1:pos:R:3 pbc="T T T"
Ac 2.0107 11.5610 3.2683
Ac 2.0107 -11.5610 1.0894
Y 2.0107 7.9562 1.0894
Y 2.0107 -7.9562 3.2683
Pt 2.0107 5.1179 1.0894
Pt 2.0107 3.4587 3.2683
Pt 2.0107 0.7962 3.2683
Pt 2.0107 -0.7962 1.0894
Pt 2.0107 -3.4587 1.0894
Pt 2.0107 -5.1179 3.2683
```



9.
FeSiHgBiPt: optimized geometry, GGA-PBE.

space group	No. 156
E_form (uncorrected)	-0.122	eV/f.u.
M_tot	0.13	μB/f.u.

extended XYZ file:
```
5
Lattice="3.7974 0.0000 0.0000 -1.8987 3.2886 0.0000 0.0000 0.0000 7.9441" Properties=species:S:1:pos:R:3 pbc="T T T"
Fe 0.0000 0.0000 0.0000
Si 1.8987 1.0962 7.3800
Hg 1.8987 1.0962 4.2979
Bi 0.0000 2.1924 1.7813
Pt 0.0000 2.1924 6.2599
```



10.
Hf3CuGe: optimized geometry, GGA-PBE.

formation energy from the elements	-0.295	eV/atom
space group	No. 12
M_tot	0.00	μB/f.u.

extended XYZ file:
```
10
Lattice="6.8697 -1.8133 0.0000 6.8697 1.8133 0.0000 -0.1312 0.0000 7.6235" Properties=species:S:1:pos:R:3 pbc="T T T"
Hf 0.5926 0.0000 2.2082
Hf 3.2762 0.0000 5.1067
Hf 5.5157 0.0000 0.4915
Hf 8.0926 0.0000 7.1320
Hf 10.3321 0.0000 2.5168
Hf 13.0157 0.0000 5.4153
Cu 2.8619 0.0000 0.6164
Cu 10.7463 0.0000 7.0071
Ge 5.4687 0.0000 3.3252
Ge 8.1396 0.0000 4.2983
```



11.
HfZrInAg: optimized geometry, GGA-PBE.

formation energy from the elements	-0.109	eV/atom
space group	No. 99
M_tot	0.00	μB/f.u.

extended XYZ file:
```
4
Lattice="3.2136 0.0000 0.0000 0.0000 3.2136 0.0000 0.0000 0.0000 8.3229" Properties=species:S:1:pos:R:3 pbc="T T T"
Hf 0.0000 0.0000 0.0000
Zr 1.6068 1.6068 2.1429
In 1.6068 1.6068 6.1080
Ag 0.0000 0.0000 4.1902
```